First-principles (PBE-GGA) data for a geometry-optimized Tb2Y3PuTe6 structure, as listed in the Alexandria database.

CIF file:
```
data_Tb2Y3PuTe6
_symmetry_space_group_name_H-M 'C 1 2/m 1'
_symmetry_Int_Tables_number 12
_symmetry_space_group_name_Hall '-C 2y'
_cell_length_a 19.0976
_cell_length_b 4.3592
_cell_length_c 8.7874
_cell_angle_alpha 90.00
_cell_angle_beta 103.39
_cell_angle_gamma 90.00
loop_
_atom_site_label
_atom_site_fract_x
_atom_site_fract_y
_atom_site_fract_z
Tb1 0.1638 0.0000 0.3290
Y1 0.0000 0.5000 0.5000
Y2 0.1656 0.0000 0.8346
Pu1 0.0000 0.5000 0.0000
Te1 0.0008 0.0000 0.7474
Te2 0.1683 0.5000 0.0835
Te3 0.1679 0.5000 0.5835
```

Its total energy is -6.445 eV/atom. The calculation puts the total moment at 12.31 μB per cell.